DFT (PBE with a Hubbard U) results for a relaxed structure of Ac2NiGeO6.

DFT total energy in eV/atom: -7.001

Cell: 5.666 5.603 7.931 Å, 90.00 90.11 90.00°
Last column: magnetic moment on the atom in μB.
Fractional positions:
Ac1 0.002 0.999 0.250  0.00
Ac2 0.502 0.501 0.750  0.00
Ac3 0.998 0.001 0.750  0.00
Ac4 0.498 0.499 0.250  0.00
Ni1 0.500 0.000 0.000  1.76
Ni2 0.000 0.500 0.500  1.76
Ge1 0.500 0.000 0.500  0.04
Ge2 0.000 0.500 0.000  0.04
O1 0.241 0.740 0.028  0.02
O2 0.741 0.760 0.528  0.02
O3 0.759 0.260 0.972  0.02
O4 0.259 0.240 0.472  0.02
O5 0.262 0.757 0.472  0.02
O6 0.762 0.743 0.972  0.02
O7 0.738 0.243 0.528  0.02
O8 0.238 0.257 0.028  0.02
O9 0.948 0.500 0.240  0.03
O10 0.448 0.000 0.740  0.03
O11 0.052 0.500 0.760  0.03
O12 0.552 0.000 0.260  0.03